# HfScH2Se PBE relaxed
# Mass density in g/cm³: 6.556
# Total DFT energy (no corrections) in eV per atom: -5.5883
# Space-group type: P4/mmm, No. 123
data_HfScH2Se
_space_group_name_H-M_alt 'P 1'
_space_group_IT_number 1
_cell_length_a 3.7586
_cell_length_b 5.4579
_cell_length_c 3.7586
_cell_angle_alpha 90.00
_cell_angle_beta 90.00
_cell_angle_gamma 90.00
loop_
_space_group_symop_operation_xyz
'x,y,z'
loop_
_atom_site_label
_atom_site_fract_x
_atom_site_fract_y
_atom_site_fract_z
_atom_site_occupancy
Sc1 0.0000 0.0000 0.0000 1
H1 0.0000 0.0000 0.5000 1
H2 0.5000 0.0000 0.0000 1
Hf1 0.5000 0.5000 0.5000 1
Se1 0.0000 0.5000 0.0000 1

# Hf2ScSnH PBE relaxed
# Mass density in g/cm³: 9.876
# Total DFT energy (no corrections) in eV per atom: -7.1062
# Space-group type: P4/mmm, No. 123
data_Hf2ScSnH
_space_group_name_H-M_alt 'P 1'
_space_group_IT_number 1
_cell_length_a 4.3818
_cell_length_b 4.3818
_cell_length_c 4.5682
_cell_angle_alpha 90.00
_cell_angle_beta 90.00
_cell_angle_gamma 90.00
loop_
_space_group_symop_operation_xyz
'x,y,z'
loop_
_atom_site_label
_atom_site_fract_x
_atom_site_fract_y
_atom_site_fract_z
_atom_site_occupancy
Sc1 0.0000 0.0000 0.5000 1
H1 0.0000 0.0000 0.0000 1
Hf1 0.0000 0.5000 0.0000 1
Hf2 0.5000 0.0000 0.0000 1
Sn1 0.5000 0.5000 0.5000 1

# Hf2ScTaH PBE relaxed
# Mass density in g/cm³: 11.184
# Total DFT energy (no corrections) in eV per atom: -8.2774
# Space-group type: P4/mmm, No. 123
# Relative energy among the computed polymorphs in kJ per mole of atoms: 0.0
data_Hf2ScTaH
_space_group_name_H-M_alt 'P 1'
_space_group_IT_number 1
_cell_length_a 4.4421
_cell_length_b 4.4421
_cell_length_c 4.3934
_cell_angle_alpha 90.00
_cell_angle_beta 90.00
_cell_angle_gamma 90.00
loop_
_space_group_symop_operation_xyz
'x,y,z'
loop_
_atom_site_label
_atom_site_fract_x
_atom_site_fract_y
_atom_site_fract_z
_atom_site_occupancy
Sc1 0.0000 0.0000 0.5000 1
H1 0.0000 0.0000 0.0000 1
Hf1 0.0000 0.5000 0.0000 1
Hf2 0.5000 0.0000 0.0000 1
Ta1 0.5000 0.5000 0.5000 1

# Hf2ScTaH PBE relaxed
# Mass density in g/cm³: 11.157
# Total DFT energy (no corrections) in eV per atom: -8.2699
# Space-group type: P4/mmm, No. 123
# Relative energy among the computed polymorphs in kJ per mole of atoms: 0.7
data_Hf2ScTaH
_space_group_name_H-M_alt 'P 1'
_space_group_IT_number 1
_cell_length_a 4.6728
_cell_length_b 4.6728
_cell_length_c 3.9800
_cell_angle_alpha 90.00
_cell_angle_beta 90.00
_cell_angle_gamma 90.00
loop_
_space_group_symop_operation_xyz
'x,y,z'
loop_
_atom_site_label
_atom_site_fract_x
_atom_site_fract_y
_atom_site_fract_z
_atom_site_occupancy
Sc1 0.5000 0.5000 0.5000 1
H1 0.0000 0.0000 0.0000 1
Hf1 0.0000 0.5000 0.0000 1
Hf2 0.5000 0.0000 0.0000 1
Ta1 0.0000 0.0000 0.5000 1

# HfScTi2H PBE relaxed
# Mass density in g/cm³: 6.565
# Total DFT energy (no corrections) in eV per atom: -7.1211
# Space-group type: P4/mmm, No. 123
# Relative energy among the computed polymorphs in kJ per mole of atoms: 0.7
data_HfScTi2H
_space_group_name_H-M_alt 'P 1'
_space_group_IT_number 1
_cell_length_a 4.3215
_cell_length_b 4.3215
_cell_length_c 4.3366
_cell_angle_alpha 90.00
_cell_angle_beta 90.00
_cell_angle_gamma 90.00
loop_
_space_group_symop_operation_xyz
'x,y,z'
loop_
_atom_site_label
_atom_site_fract_x
_atom_site_fract_y
_atom_site_fract_z
_atom_site_occupancy
Sc1 0.5000 0.5000 0.5000 1
H1 0.0000 0.0000 0.0000 1
Hf1 0.0000 0.0000 0.5000 1
Ti1 0.0000 0.5000 0.0000 1
Ti2 0.5000 0.0000 0.0000 1

# Hf2ScTiH PBE relaxed
# Mass density in g/cm³: 8.682
# Total DFT energy (no corrections) in eV per atom: -7.5398
# Space-group type: P4/mmm, No. 123
data_Hf2ScTiH
_space_group_name_H-M_alt 'P 1'
_space_group_IT_number 1
_cell_length_a 4.4559
_cell_length_b 4.4559
_cell_length_c 4.3423
_cell_angle_alpha 90.00
_cell_angle_beta 90.00
_cell_angle_gamma 90.00
loop_
_space_group_symop_operation_xyz
'x,y,z'
loop_
_atom_site_label
_atom_site_fract_x
_atom_site_fract_y
_atom_site_fract_z
_atom_site_occupancy
Sc1 0.5000 0.5000 0.5000 1
H1 0.0000 0.0000 0.0000 1
Hf1 0.0000 0.5000 0.0000 1
Hf2 0.5000 0.0000 0.0000 1
Ti1 0.0000 0.0000 0.5000 1

# HfSc2TiH PBE relaxed
# Mass density in g/cm³: 6.043
# Total DFT energy (no corrections) in eV per atom: -6.8309
# Space-group type: P4/mmm, No. 123
# Relative energy among the computed polymorphs in kJ per mole of atoms: 0.4
data_HfSc2TiH
_space_group_name_H-M_alt 'P 1'
_space_group_IT_number 1
_cell_length_a 4.4203
_cell_length_b 4.4203
_cell_length_c 4.4622
_cell_angle_alpha 90.00
_cell_angle_beta 90.00
_cell_angle_gamma 90.00
loop_
_space_group_symop_operation_xyz
'x,y,z'
loop_
_atom_site_label
_atom_site_fract_x
_atom_site_fract_y
_atom_site_fract_z
_atom_site_occupancy
Sc1 0.0000 0.5000 0.0000 1
Sc2 0.5000 0.0000 0.0000 1
H1 0.0000 0.0000 0.0000 1
Hf1 0.0000 0.0000 0.5000 1
Ti1 0.5000 0.5000 0.5000 1

# HfSc2TiH PBE relaxed
# Mass density in g/cm³: 6.106
# Total DFT energy (no corrections) in eV per atom: -6.8349
# Space-group type: P4/mmm, No. 123
# Relative energy among the computed polymorphs in kJ per mole of atoms: 0.0
data_HfSc2TiH
_space_group_name_H-M_alt 'P 1'
_space_group_IT_number 1
_cell_length_a 4.4163
_cell_length_b 4.4163
_cell_length_c 4.4238
_cell_angle_alpha 90.00
_cell_angle_beta 90.00
_cell_angle_gamma 90.00
loop_
_space_group_symop_operation_xyz
'x,y,z'
loop_
_atom_site_label
_atom_site_fract_x
_atom_site_fract_y
_atom_site_fract_z
_atom_site_occupancy
Sc1 0.0000 0.5000 0.0000 1
Sc2 0.5000 0.0000 0.0000 1
H1 0.0000 0.0000 0.0000 1
Hf1 0.5000 0.5000 0.5000 1
Ti1 0.0000 0.0000 0.5000 1

# HfScTi2H PBE relaxed
# Mass density in g/cm³: 6.614
# Total DFT energy (no corrections) in eV per atom: -7.1284
# Space-group type: P4/mmm, No. 123
# Relative energy among the computed polymorphs in kJ per mole of atoms: 0.0
data_HfScTi2H
_space_group_name_H-M_alt 'P 1'
_space_group_IT_number 1
_cell_length_a 4.2852
_cell_length_b 4.2852
_cell_length_c 4.3777
_cell_angle_alpha 90.00
_cell_angle_beta 90.00
_cell_angle_gamma 90.00
loop_
_space_group_symop_operation_xyz
'x,y,z'
loop_
_atom_site_label
_atom_site_fract_x
_atom_site_fract_y
_atom_site_fract_z
_atom_site_occupancy
Sc1 0.0000 0.0000 0.5000 1
H1 0.0000 0.0000 0.0000 1
Hf1 0.5000 0.5000 0.5000 1
Ti1 0.0000 0.5000 0.0000 1
Ti2 0.5000 0.0000 0.0000 1

# Hf2ScTiH PBE relaxed
# Mass density in g/cm³: 8.653
# Total DFT energy (no corrections) in eV per atom: -7.5396
# Space-group type: P4/mmm, No. 123
data_Hf2ScTiH
_space_group_name_H-M_alt 'P 1'
_space_group_IT_number 1
_cell_length_a 4.4068
_cell_length_b 4.4068
_cell_length_c 4.4547
_cell_angle_alpha 90.00
_cell_angle_beta 90.00
_cell_angle_gamma 90.00
loop_
_space_group_symop_operation_xyz
'x,y,z'
loop_
_atom_site_label
_atom_site_fract_x
_atom_site_fract_y
_atom_site_fract_z
_atom_site_occupancy
Sc1 0.0000 0.0000 0.5000 1
H1 0.0000 0.0000 0.0000 1
Hf1 0.0000 0.5000 0.0000 1
Hf2 0.5000 0.0000 0.0000 1
Ti1 0.5000 0.5000 0.5000 1

# HfSc2TlH PBE relaxed
# Mass density in g/cm³: 7.035
# Total DFT energy (no corrections) in eV per atom: -5.2092
# Space-group type: P4/mmm, No. 123
# Relative energy among the computed polymorphs in kJ per mole of atoms: 66.4
data_HfSc2TlH
_space_group_name_H-M_alt 'P 1'
_space_group_IT_number 1
_cell_length_a 5.5884
_cell_length_b 3.5810
_cell_length_c 5.5884
_cell_angle_alpha 90.00
_cell_angle_beta 90.00
_cell_angle_gamma 90.00
loop_
_space_group_symop_operation_xyz
'x,y,z'
loop_
_atom_site_label
_atom_site_fract_x
_atom_site_fract_y
_atom_site_fract_z
_atom_site_occupancy
Sc1 0.0000 0.0000 0.5000 1
Sc2 0.5000 0.0000 0.0000 1
H1 0.0000 0.5000 0.0000 1
Tl1 0.5000 0.5000 0.5000 1
Hf1 0.0000 0.0000 0.0000 1

# Hf2ScTlH PBE relaxed
# Mass density in g/cm³: 11.384
# Total DFT energy (no corrections) in eV per atom: -6.5725
# Space-group type: P4/mmm, No. 123
data_Hf2ScTlH
_space_group_name_H-M_alt 'P 1'
_space_group_IT_number 1
_cell_length_a 4.4240
_cell_length_b 4.4240
_cell_length_c 4.5264
_cell_angle_alpha 90.00
_cell_angle_beta 90.00
_cell_angle_gamma 90.00
loop_
_space_group_symop_operation_xyz
'x,y,z'
loop_
_atom_site_label
_atom_site_fract_x
_atom_site_fract_y
_atom_site_fract_z
_atom_site_occupancy
Sc1 0.0000 0.0000 0.5000 1
H1 0.0000 0.0000 0.0000 1
Tl1 0.5000 0.5000 0.5000 1
Hf1 0.0000 0.5000 0.0000 1
Hf2 0.5000 0.0000 0.0000 1

# HfSc2TlH PBE relaxed
# Mass density in g/cm³: 8.774
# Total DFT energy (no corrections) in eV per atom: -5.8974
# Space-group type: P4/mmm, No. 123
# Relative energy among the computed polymorphs in kJ per mole of atoms: 0.0
data_HfSc2TlH
_space_group_name_H-M_alt 'P 1'
_space_group_IT_number 1
_cell_length_a 4.5031
_cell_length_b 4.5031
_cell_length_c 4.4220
_cell_angle_alpha 90.00
_cell_angle_beta 90.00
_cell_angle_gamma 90.00
loop_
_space_group_symop_operation_xyz
'x,y,z'
loop_
_atom_site_label
_atom_site_fract_x
_atom_site_fract_y
_atom_site_fract_z
_atom_site_occupancy
Sc1 0.0000 0.5000 0.0000 1
Sc2 0.5000 0.0000 0.0000 1
H1 0.0000 0.0000 0.0000 1
Tl1 0.5000 0.5000 0.5000 1
Hf1 0.0000 0.0000 0.5000 1

# HfSc2HW PBE relaxed
# Mass density in g/cm³: 9.108
# Total DFT energy (no corrections) in eV per atom: -7.7347
# Space-group type: P4/mmm, No. 123
data_HfSc2HW
_space_group_name_H-M_alt 'P 1'
_space_group_IT_number 1
_cell_length_a 4.1470
_cell_length_b 4.8053
_cell_length_c 4.1470
_cell_angle_alpha 90.00
_cell_angle_beta 90.00
_cell_angle_gamma 90.00
loop_
_space_group_symop_operation_xyz
'x,y,z'
loop_
_atom_site_label
_atom_site_fract_x
_atom_site_fract_y
_atom_site_fract_z
_atom_site_occupancy
Sc1 0.0000 0.0000 0.5000 1
Sc2 0.5000 0.0000 0.0000 1
H1 0.0000 0.0000 0.0000 1
Hf1 0.0000 0.5000 0.0000 1
W1 0.5000 0.5000 0.5000 1

# HfZr2ScH8 PBE relaxed
# Mass density in g/cm³: 6.377
# Total DFT energy (no corrections) in eV per atom: -5.6084
# Space-group type: I-4m2, No. 119
data_HfZr2ScH8
_space_group_name_H-M_alt 'P 1'
_space_group_IT_number 1
_cell_length_a 4.7886
_cell_length_b 4.7886
_cell_length_c 5.7933
_cell_angle_alpha 114.41
_cell_angle_beta 114.41
_cell_angle_gamma 90.00
loop_
_space_group_symop_operation_xyz
'x,y,z'
loop_
_atom_site_label
_atom_site_fract_x
_atom_site_fract_y
_atom_site_fract_z
_atom_site_occupancy
Hf1 0.2500 0.7500 0.5000 1
Zr1 0.7500 0.2500 0.5000 1
Zr2 0.0000 0.0000 0.0000 1
Sc1 0.5000 0.5000 0.0000 1
H1 0.1278 0.6264 0.7478 1
H2 0.6200 0.6264 0.7478 1
H3 0.3736 0.3800 0.2522 1
H4 0.8786 0.8722 0.2522 1
H5 0.6200 0.1214 0.7478 1
H6 0.3736 0.8722 0.2522 1
H7 0.1278 0.1214 0.7478 1
H8 0.8786 0.3800 0.2522 1

# HfZrSc2H PBE relaxed
# Mass density in g/cm³: 6.474
# Total DFT energy (no corrections) in eV per atom: -7.0211
# Space-group type: P4/mmm, No. 123
# Relative energy among the computed polymorphs in kJ per mole of atoms: 0.3
data_HfZrSc2H
_space_group_name_H-M_alt 'P 1'
_space_group_IT_number 1
_cell_length_a 4.5099
_cell_length_b 4.5099
_cell_length_c 4.5477
_cell_angle_alpha 90.00
_cell_angle_beta 90.00
_cell_angle_gamma 90.00
loop_
_space_group_symop_operation_xyz
'x,y,z'
loop_
_atom_site_label
_atom_site_fract_x
_atom_site_fract_y
_atom_site_fract_z
_atom_site_occupancy
Sc1 0.0000 0.5000 0.0000 1
Sc2 0.5000 0.0000 0.0000 1
H1 0.0000 0.0000 0.0000 1
Hf1 0.0000 0.0000 0.5000 1
Zr1 0.5000 0.5000 0.5000 1

# HfZrSc2H PBE relaxed
# Mass density in g/cm³: 6.467
# Total DFT energy (no corrections) in eV per atom: -7.0243
# Space-group type: P4/mmm, No. 123
# Relative energy among the computed polymorphs in kJ per mole of atoms: 0.0
data_HfZrSc2H
_space_group_name_H-M_alt 'P 1'
_space_group_IT_number 1
_cell_length_a 4.5190
_cell_length_b 4.5190
_cell_length_c 4.5349
_cell_angle_alpha 90.00
_cell_angle_beta 90.00
_cell_angle_gamma 90.00
loop_
_space_group_symop_operation_xyz
'x,y,z'
loop_
_atom_site_label
_atom_site_fract_x
_atom_site_fract_y
_atom_site_fract_z
_atom_site_occupancy
Sc1 0.0000 0.5000 0.0000 1
Sc2 0.5000 0.0000 0.0000 1
H1 0.0000 0.0000 0.0000 1
Hf1 0.5000 0.5000 0.5000 1
Zr1 0.0000 0.0000 0.5000 1

# Hf2ZrScH PBE relaxed
# Mass density in g/cm³: 8.928
# Total DFT energy (no corrections) in eV per atom: -7.7116
# Space-group type: P4/mmm, No. 123
# Relative energy among the computed polymorphs in kJ per mole of atoms: 0.0
data_Hf2ZrScH
_space_group_name_H-M_alt 'P 1'
_space_group_IT_number 1
_cell_length_a 4.4844
_cell_length_b 4.4844
_cell_length_c 4.5702
_cell_angle_alpha 90.00
_cell_angle_beta 90.00
_cell_angle_gamma 90.00
loop_
_space_group_symop_operation_xyz
'x,y,z'
loop_
_atom_site_label
_atom_site_fract_x
_atom_site_fract_y
_atom_site_fract_z
_atom_site_occupancy
Sc1 0.0000 0.0000 0.5000 1
H1 0.0000 0.0000 0.0000 1
Hf1 0.0000 0.5000 0.0000 1
Hf2 0.5000 0.0000 0.0000 1
Zr1 0.5000 0.5000 0.5000 1

# Hf2ZrScH PBE relaxed
# Mass density in g/cm³: 8.883
# Total DFT energy (no corrections) in eV per atom: -7.7076
# Space-group type: P4/mmm, No. 123
# Relative energy among the computed polymorphs in kJ per mole of atoms: 0.4
data_Hf2ZrScH
_space_group_name_H-M_alt 'P 1'
_space_group_IT_number 1
_cell_length_a 4.5209
_cell_length_b 4.5209
_cell_length_c 4.5197
_cell_angle_alpha 90.00
_cell_angle_beta 90.00
_cell_angle_gamma 90.00
loop_
_space_group_symop_operation_xyz
'x,y,z'
loop_
_atom_site_label
_atom_site_fract_x
_atom_site_fract_y
_atom_site_fract_z
_atom_site_occupancy
Sc1 0.5000 0.5000 0.5000 1
H1 0.0000 0.0000 0.0000 1
Hf1 0.0000 0.5000 0.0000 1
Hf2 0.5000 0.0000 0.0000 1
Zr1 0.0000 0.0000 0.5000 1

# HfH2Se PBE relaxed
# Mass density in g/cm³: 9.114
# Total DFT energy (no corrections) in eV per atom: -4.7143
# Space-group type: R-3m, No. 166
# Relative energy among the computed polymorphs in kJ per mole of atoms: 105.9
data_HfH2Se
_space_group_name_H-M_alt 'P 1'
_space_group_IT_number 1
_cell_length_a 3.4570
_cell_length_b 3.4570
_cell_length_c 4.9849
_cell_angle_alpha 69.71
_cell_angle_beta 69.71
_cell_angle_gamma 60.00
loop_
_space_group_symop_operation_xyz
'x,y,z'
loop_
_atom_site_label
_atom_site_fract_x
_atom_site_fract_y
_atom_site_fract_z
_atom_site_occupancy
H1 0.1381 0.1381 0.5858 1
H2 0.8619 0.8619 0.4142 1
Hf1 0.0000 0.0000 0.0000 1
Se1 0.5000 0.5000 0.5000 1